The following is a PBE calculation of a relaxed LaZn3Te crystal, from Alexandria.

Computed properties:
uncorrected energy	-1.63	eV/atom
energy above the most stable polymorph in this dataset	0.3984	eV per atom
total magnetic moment	0.00	μB/cell

Geometry as POSCAR:
```
LaZn3Te
1.0
-2.777 0.488 -5.014
4.324 -2.706 -2.658
-2.584 -5.052 0.940
Te Zn La
1 3 1
Direct
0.500 0.500 0.500
0.000 0.500 0.000
0.500 0.000 0.000
0.000 0.000 0.500
0.000 0.000 0.000
```

---

The following is a PBE calculation of a relaxed LaZnTe2 crystal, from Alexandria.

Computed properties:
uncorrected energy	-4.00	eV/atom
total magnetic moment	0.00	μB/cell

Geometry as POSCAR:
```
LaZnTe2
1.0
-6.069 2.784 -4.916
-5.734 -3.161 -5.088
3.990 -0.095 7.268
Zn Te La
1 2 1
Direct
0.474 0.474 0.000
0.980 0.980 0.000
0.735 0.235 0.500
0.311 0.811 0.500
```

---

The following is a PBE calculation of a relaxed LaZnTe2 crystal, from Alexandria.

Computed properties:
uncorrected energy	-3.88	eV/atom
total magnetic moment	0.00	μB/cell

Geometry as POSCAR:
```
LaZnTe2
1.0
2.684 0.000 8.874
-1.342 2.325 8.874
-1.342 -2.325 8.874
Te Zn La
2 1 1
Direct
0.901 0.901 0.901
0.099 0.099 0.099
0.000 0.000 0.000
0.500 0.500 0.500
```

---

The following is a PBE calculation of a relaxed LaZn4Te crystal, from Alexandria.

Computed properties:
uncorrected energy	-2.40	eV/atom
total magnetic moment	0.00	μB/cell

Geometry as POSCAR:
```
LaZn4Te
1.0
0.000 4.011 4.011
4.011 0.000 4.011
4.011 4.011 0.000
Zn Te La
4 1 1
Direct
0.877 0.374 0.374
0.374 0.374 0.374
0.374 0.374 0.877
0.374 0.877 0.374
0.000 0.000 0.000
0.750 0.750 0.750
```

---

The following is a PBE calculation of a relaxed La4ZnTe crystal, from Alexandria.

Computed properties:
uncorrected energy	-3.98	eV/atom
total magnetic moment	0.00	μB/cell

Geometry as POSCAR:
```
La4ZnTe
1.0
4.015 4.235 2.739
-0.566 1.388 6.270
4.478 -2.034 4.168
Te La Zn
1 4 1
Direct
0.750 0.750 0.750
0.876 0.375 0.375
0.375 0.375 0.375
0.375 0.375 0.876
0.375 0.876 0.375
0.000 0.000 0.000
```

---

The following is a PBE calculation of a relaxed LaZnTe2 crystal, from Alexandria.

Computed properties:
uncorrected energy	-3.98	eV/atom
total magnetic moment	0.00	μB/cell

Geometry as POSCAR:
```
LaZnTe2
1.0
4.430 0.000 0.000
0.000 4.430 0.000
0.000 0.000 6.542
Te La Zn
2 1 1
Direct
0.500 0.500 0.373
0.000 0.000 0.875
0.500 0.500 0.871
0.000 0.000 0.381
```

---

The following is a PBE calculation of a relaxed LaZnTe crystal, from Alexandria.

Computed properties:
uncorrected energy	-3.68	eV/atom
energy above the most stable polymorph in this dataset	0.1446	eV per atom
total magnetic moment	0.00	μB/cell

Geometry as POSCAR:
```
LaZnTe
1.0
-4.257 -0.915 2.416
0.107 -1.909 4.598
-1.307 2.814 3.895
Te La Zn
1 1 1
Direct
0.500 0.500 0.500
0.000 0.000 0.000
0.750 0.750 0.750
```

---

The following is a PBE calculation of a relaxed La3ZnTe crystal, from Alexandria.

Computed properties:
uncorrected energy	-4.09	eV/atom
energy above the most stable polymorph in this dataset	0.0000	eV per atom
total magnetic moment	0.00	μB/cell

Geometry as POSCAR:
```
La3ZnTe
1.0
-5.030 -1.492 -2.120
2.125 0.280 -5.238
1.486 -5.452 0.311
Zn La Te
1 3 1
Direct
0.000 0.000 0.000
0.000 0.500 0.000
0.500 0.000 0.000
0.000 0.000 0.500
0.500 0.500 0.500
```

---

no.,formation energy without anion corrections (meV/atom),volume (Å³/cell)
1,746,190
2,-878,137
3,-756,166
4,-201,129
5,40,189
6,-859,128
7,-569,87
8,-246,181